The following is a DFT calculation (PBE) of AcPrH2 after structural relaxation.

The total energy comes out at -4.15 eV/atom. The calculation puts the distance to the lowest polymorph of the same formula at 0.41 eV/f.u.

The structure belongs to space group R3m (No. 160, hexagonal axes); the cell edges are 3.7856, 3.7856 and 19.4976 Å and the angles 90.00°, 90.00° and 120.00°. The distinct sites, in fractional coordinates, are Ac at (0.0000, 0.0000, 0.0000), Pr at (0.0000, 0.0000, 0.1777), H at (0.0000, 0.0000, 0.5792) and H at (0.0000, 0.0000, 0.7840).

The following is a DFT calculation (PBE) of Ac5Pr3H12 after structural relaxation.

The total energy comes out at -4.12 eV/atom.

The structure belongs to space group Ia-3d (No. 230); the cell edges are 14.3056, 14.3056 and 14.3056 Å and the angles 90.00°, 90.00° and 90.00°. The distinct sites, in fractional coordinates, are Ac at (0.0000, 0.0000, 0.0000), Ac at (0.0000, 0.2500, 0.3750), Pr at (0.0000, 0.2500, 0.1250) and H at (0.0025, 0.0741, 0.1578).

The following is a DFT calculation (PBE) of AcPrH4 after structural relaxation.

The total energy comes out at -4.32 eV/atom.

The structure belongs to space group P4/mmm (No. 123); the cell edges are 4.0289, 4.0289 and 5.7355 Å and the angles 90.00°, 90.00° and 90.00°. The distinct sites, in fractional coordinates, are Ac at (0.0000, 0.0000, 0.0000), Pr at (0.5000, 0.5000, 0.5000) and H at (0.0000, 0.5000, 0.2679).

The following is a DFT calculation (PBE) of Ac2PrH8 after structural relaxation.

The total energy comes out at -4.18 eV/atom.

The structure belongs to space group Immm (No. 71); the cell edges are 4.0821, 5.5810 and 12.2221 Å and the angles 90.00°, 90.00° and 90.00°. The distinct sites, in fractional coordinates, are Ac at (0.0000, 0.0000, 0.1693), Pr at (0.0000, 0.0000, 0.5000), H at (0.0000, 0.2520, 0.3452), H at (0.0000, 0.2533, 0.0000) and H at (0.0000, 0.5000, 0.1714).